Material: Sm2TmTe2N2
Method: DFT, PBE-GGA
State: optimized geometry

For the uncorrected formation energy, the calculation gives -1.24 eV/atom.

The space group is I4/mmm (No. 139) and the conventional cell measures 4.364, 4.364 and 16.299 Å, with angles of 90.00, 90.00 and 90.00 degrees. The asymmetric unit holds Sm at (0.000, 0.000, 0.101), Tm at (0.000, 0.000, 0.500), Te at (0.000, 0.000, 0.314) and N at (0.000, 0.500, 0.000).

=====

Material: SrPmH2
Method: DFT, PBE-GGA
State: optimized geometry

For the electronic total energy, the calculation gives -3.557 eV/atom.

The space group is R3m (No. 160, hexagonal axes) and the conventional cell measures 3.8903, 3.8903 and 19.4402 Å, with angles of 90.00, 90.00 and 120.00 degrees. The asymmetric unit holds Sr at (0.0000, 0.0000, 0.0000), Pm at (0.0000, 0.0000, 0.1850), H at (0.0000, 0.0000, 0.5789) and H at (0.0000, 0.0000, 0.8625).

=====

Material: SrTc2As
Method: DFT, PBE-GGA
State: optimized geometry

The calculation puts the formation energy from the elements at 0.320 eV/atom.

The space group is I4_1/amd (No. 141, origin choice 2) and the conventional cell measures 4.782, 4.782 and 17.543 Å, with angles of 90.00, 90.00 and 90.00 degrees. The asymmetric unit holds Sr at (0.000, 0.250, 0.375), Tc at (0.000, 0.000, 0.000) and As at (0.000, 0.250, 0.875).

=====

Material: LiLa2
Method: DFT, PBE-GGA
State: optimized geometry

The calculation puts the formation energy from the elements at 0.420 eV/atom.

The space group is Fm-3m (No. 225) and the conventional cell measures 7.440, 7.440 and 7.440 Å, with angles of 90.00, 90.00 and 90.00 degrees. The asymmetric unit holds Li at (0.000, 0.000, 0.000) and La at (0.250, 0.250, 0.250).

=====

no.,size of the total moment (Bohr magnetons per cell)
1,0.0
2,2.8
3,0.0
4,7.3